# 1
Density functional theory data (PBE) for a relaxed ErGe3Ru3 crystal.

Cell lengths 6.662, 6.662, 6.662 Å; angles 90.00, 90.00, 90.00 degrees
Fractional positions:
1 Er 0.000 0.000 0.000
2 Er 0.500 0.500 0.500
3 Ge 0.000 0.250 0.500
4 Ge 0.000 0.750 0.500
5 Ge 0.250 0.500 0.000
6 Ge 0.500 0.000 0.250
7 Ge 0.500 0.000 0.750
8 Ge 0.750 0.500 0.000
9 Ru 0.000 0.500 0.250
10 Ru 0.000 0.500 0.750
11 Ru 0.250 0.000 0.500
12 Ru 0.500 0.250 0.000
13 Ru 0.500 0.750 0.000
14 Ru 0.750 0.000 0.500

Computed properties:
E_form: 0.15 eV/atom
Magnetization: 0.00 μB/f.u.
Energy: -0.475 Ry per atom



# 2
Density functional theory data (PBE) for a relaxed Er3Ge3Ru2 crystal.

Cell lengths 8.101, 14.154, 5.643 Å; angles 90.00, 90.00, 90.00 degrees
Fractional positions:
1 Er 0.042 0.114 0.115
2 Er 0.042 0.386 0.115
3 Er 0.184 0.250 0.630
4 Er 0.316 0.750 0.130
5 Er 0.458 0.614 0.615
6 Er 0.458 0.886 0.615
7 Er 0.542 0.114 0.385
8 Er 0.542 0.386 0.385
9 Er 0.684 0.250 0.870
10 Er 0.816 0.750 0.370
11 Er 0.958 0.614 0.885
12 Er 0.958 0.886 0.885
13 Ge 0.165 0.750 0.609
14 Ge 0.201 0.040 0.632
15 Ge 0.201 0.460 0.632
16 Ge 0.299 0.540 0.132
17 Ge 0.299 0.960 0.132
18 Ge 0.335 0.250 0.109
19 Ge 0.665 0.750 0.891
20 Ge 0.701 0.040 0.868
21 Ge 0.701 0.460 0.868
22 Ge 0.799 0.540 0.368
23 Ge 0.799 0.960 0.368
24 Ge 0.835 0.250 0.391
25 Ru 0.080 0.593 0.394
26 Ru 0.080 0.907 0.394
27 Ru 0.420 0.093 0.894
28 Ru 0.420 0.407 0.894
29 Ru 0.580 0.593 0.106
30 Ru 0.580 0.907 0.106
31 Ru 0.920 0.093 0.606
32 Ru 0.920 0.407 0.606

Computed properties:
Polymorph energy (0 for the lowest one): 57.2 meV/atom
E_form: -0.73 eV/atom
Magnetization: 0.00 μB/f.u.
Energy: -0.477 Ry per atom



# 3
Density functional theory data (PBE) for a relaxed Er3Ge3Ru2 crystal.

Cell lengths 5.785, 5.785, 13.860 Å; angles 90.00, 90.00, 136.84 degrees
Fractional positions:
1 Er 0.078 0.922 0.613
2 Er 0.078 0.922 0.887
3 Er 0.353 0.647 0.750
4 Er 0.647 0.353 0.250
5 Er 0.922 0.078 0.113
6 Er 0.922 0.078 0.387
7 Ge 0.337 0.663 0.250
8 Ge 0.385 0.615 0.541
9 Ge 0.385 0.615 0.959
10 Ge 0.615 0.385 0.041
11 Ge 0.615 0.385 0.459
12 Ge 0.663 0.337 0.750
13 Ru 0.213 0.787 0.083
14 Ru 0.213 0.787 0.417
15 Ru 0.787 0.213 0.583
16 Ru 0.787 0.213 0.917

Computed properties:
Polymorph energy (0 for the lowest one): 0.0 meV/atom
E_form: -0.79 eV/atom
Magnetization: 0.00 μB/f.u.
Energy: -0.481 Ry per atom



# 4
Density functional theory data (PBE) for a relaxed ErGeRu crystal.

Cell lengths 4.364, 4.364, 3.450 Å; angles 90.00, 90.00, 120.00 degrees
Fractional positions:
1 Er 0.000 0.000 0.000
2 Ge 0.333 0.667 0.500
3 Ru 0.667 0.333 0.500

Computed properties:
E_form: -0.58 eV/atom
Magnetization: 0.00 μB/f.u.
Energy: -0.495 Ry per atom



# 5
Density functional theory data (PBE) for a relaxed ErScGeRu crystal.

Cell lengths 4.763, 4.763, 4.763 Å; angles 60.00, 60.00, 60.00 degrees
Fractional positions:
1 Er 0.000 0.000 0.000
2 Sc 0.500 0.500 0.500
3 Ge 0.750 0.750 0.750
4 Ru 0.250 0.250 0.250

Computed properties:
E_form: -0.54 eV/atom
Magnetization: 0.00 μB/f.u.
Energy: -0.495 Ry per atom



# 6
Density functional theory data (PBE) for a relaxed ErTmGeRu crystal.

Cell lengths 4.871, 4.871, 4.871 Å; angles 60.00, 60.00, 60.00 degrees
Fractional positions:
1 Er 0.000 0.000 0.000
2 Tm 0.500 0.500 0.500
3 Ge 0.250 0.250 0.250
4 Ru 0.750 0.750 0.750

Computed properties:
Polymorph energy (0 for the lowest one): 128.7 meV/atom
E_form: -0.52 eV/atom
Magnetization: 0.00 μB/f.u.
Energy: -0.459 Ry per atom